# 1
{"formula": "LiHgIr2", "functional": "PBE", "state": "relaxed", "total_magnetization_mub_per_fu": 0.000, "total_energy_ry_per_atom": -0.3612, "delta_e_f_ev_per_atom": 0.070, "lattice": [[2.797, 0.000, 0.000], [0.000, 2.797, 0.000], [0.000, 0.000, 8.272]], "species": ["Li", "Hg", "Ir", "Ir"], "frac_coords": [[0.000, 0.000, 0.000], [0.500, 0.500, 0.269], [0.000, 0.000, 0.552], [0.500, 0.500, 0.762]]}

***

# 2
{"formula": "RbTi3O6", "functional": "PBE", "state": "relaxed", "total_magnetization_mub_per_fu": 1.032, "total_energy_ry_per_atom": -0.6031, "formation_energy_uncorrected_ev_per_atom": -2.76, "lattice": [[-3.354, 5.913, 5.180], [3.354, -5.913, 5.180], [3.354, 5.913, -5.180]], "species": ["Rb", "Rb", "Ti", "Ti", "Ti", "Ti", "Ti", "Ti", "O", "O", "O", "O", "O", "O", "O", "O", "O", "O", "O", "O"], "frac_coords": [[0.250, 0.250, 0.000], [0.750, 0.750, 0.000], [0.180, 0.675, 0.855], [0.250, 0.750, 0.500], [0.320, 0.175, 0.495], [0.680, 0.825, 0.505], [0.750, 0.250, 0.500], [0.820, 0.325, 0.145], [0.056, 0.486, 0.254], [0.232, 0.802, 0.746], [0.234, 0.940, 0.174], [0.266, 0.440, 0.706], [0.268, 0.014, 0.570], [0.444, 0.698, 0.430], [0.556, 0.302, 0.570], [0.732, 0.986, 0.430], [0.734, 0.560, 0.294], [0.766, 0.060, 0.826], [0.768, 0.198, 0.254], [0.944, 0.514, 0.746]]}

***

# 3
{"formula": "LaPaFe4", "functional": "PBE", "state": "relaxed", "total_magnetization_mub_per_fu": 5.808, "total_energy_ry_per_atom": -0.5901, "delta_e_f_ev_per_atom": 0.016, "lattice": [[0.000, 3.640, 3.640], [3.640, 0.000, 3.640], [3.640, 3.640, 0.000]], "species": ["La", "Pa", "Fe", "Fe", "Fe", "Fe"], "frac_coords": [[0.000, 0.000, 0.000], [0.750, 0.750, 0.750], [0.376, 0.376, 0.376], [0.376, 0.376, 0.873], [0.376, 0.873, 0.376], [0.873, 0.376, 0.376]]}